Entry 1:
5
Lattice="4.577 0.000 0.000 0.000 4.577 0.000 0.000 0.000 4.577" Properties=species:S:1:pos:R:3 comment="GGA-PBE Cd3WN, optimized geometry" vol_a3_per_fu=95.9 space_group="Pm-3m, No. 221" e_tot_ry_per_atom=-0.257 formation_energy_uncorrected_kj_per_mol_atoms=126.8 pbc="T T T"
Cd 0.000 0.000 2.288
Cd 0.000 2.288 0.000
Cd 2.288 0.000 0.000
W 2.288 2.288 2.288
N 0.000 0.000 0.000


Entry 2:
20
Lattice="5.817 -6.724 0.000 5.817 6.724 0.000 -0.234 0.000 6.048" Properties=species:S:1:pos:R:3 comment="GGA-PBE Y3CdN, optimized geometry" vol_a3_per_fu=118.3 space_group="C2/c, No. 15" e_tot_ry_per_atom=-0.473 formation_energy_uncorrected_kj_per_mol_atoms=-68.4 pbc="T T T"
Y 4.365 4.457 5.606
Y 4.349 2.557 2.507
Y 6.918 4.457 3.466
Y 4.277 0.923 5.498
Y 7.169 2.557 0.517
Y 4.394 -0.923 2.474
Y 7.007 0.923 3.573
Y 4.232 -2.557 5.530
Y 7.124 -0.923 0.549
Y 4.482 -4.457 2.582
Y 7.052 -2.557 3.541
Y 7.035 -4.457 0.442
Cd 1.656 0.931 3.428
Cd 1.773 -0.931 0.405
Cd 9.627 0.931 5.643
Cd 9.744 -0.931 2.619
N 5.642 2.681 4.536
N 5.759 0.831 1.512
N 5.642 -0.831 4.536
N 5.759 -2.681 1.512


Entry 3:
20
Lattice="5.635 0.000 0.000 0.000 13.841 0.000 0.000 0.000 6.723" Properties=species:S:1:pos:R:3 comment="GGA-PBE Y3CdN, optimized geometry" vol_a3_per_fu=131.1 space_group="Pnma, No. 62" e_tot_ry_per_atom=-0.469 formation_energy_uncorrected_kj_per_mol_atoms=-63.4 pbc="T T T"
Y 0.045 1.665 0.552
Y 0.045 5.255 0.552
Y 0.155 3.460 3.904
Y 2.662 10.381 0.542
Y 2.773 8.585 3.913
Y 2.773 12.176 3.913
Y 2.862 1.665 2.810
Y 2.862 5.255 2.810
Y 2.973 3.460 6.181
Y 5.480 10.381 2.820
Y 5.590 8.585 6.172
Y 5.590 12.176 6.172
Cd 0.000 0.000 3.362
Cd 0.000 6.920 3.362
Cd 2.818 0.000 0.000
Cd 2.818 6.920 0.000
N 0.332 10.381 0.656
N 2.486 3.460 4.018
N 3.149 10.381 2.706
N 5.303 3.460 6.067


Entry 4:
10
Lattice="8.507 -1.717 0.000 8.507 1.717 0.000 -0.446 0.000 8.729" Properties=species:S:1:pos:R:3 comment="GGA-PBE Y3CdN, optimized geometry" vol_a3_per_fu=127.5 space_group="C2/m, No. 12" e_tot_ry_per_atom=-0.465 formation_energy_uncorrected_kj_per_mol_atoms=-57.8 pbc="T T T"
Y 0.016 0.000 1.813
Y 2.339 0.000 5.305
Y 5.910 0.000 0.328
Y 10.657 0.000 8.402
Y 14.228 0.000 3.424
Y 16.550 0.000 6.917
Cd 3.205 0.000 2.303
Cd 13.362 0.000 6.426
N 7.029 0.000 2.474
N 9.538 0.000 6.255


Copy entry 4 word for word.
10
Lattice="8.507 -1.717 0.000 8.507 1.717 0.000 -0.446 0.000 8.729" Properties=species:S:1:pos:R:3 comment="GGA-PBE Y3CdN, optimized geometry" vol_a3_per_fu=127.5 space_group="C2/m, No. 12" e_tot_ry_per_atom=-0.465 formation_energy_uncorrected_kj_per_mol_atoms=-57.8 pbc="T T T"
Y 0.016 0.000 1.813
Y 2.339 0.000 5.305
Y 5.910 0.000 0.328
Y 10.657 0.000 8.402
Y 14.228 0.000 3.424
Y 16.550 0.000 6.917
Cd 3.205 0.000 2.303
Cd 13.362 0.000 6.426
N 7.029 0.000 2.474
N 9.538 0.000 6.255